1.
Density functional theory data (PBE) for a geometry-optimized LiMgAgF6 structure.

a b c (Å): 4.797 4.797 9.544
angles (deg): 90.00 90.00 90.00
Sites, in units of the cell vectors:
Li (0.000, 0.000, 0.000)
Li (0.500, 0.500, 0.500)
Mg (0.000, 0.000, 0.667)
Mg (0.500, 0.500, 0.167)
Ag (0.000, 0.000, 0.332)
Ag (0.500, 0.500, 0.832)
F (0.189, 0.189, 0.830)
F (0.196, 0.196, 0.507)
F (0.202, 0.202, 0.162)
F (0.298, 0.702, 0.662)
F (0.304, 0.696, 0.007)
F (0.311, 0.689, 0.330)
F (0.689, 0.311, 0.330)
F (0.696, 0.304, 0.007)
F (0.702, 0.298, 0.662)
F (0.798, 0.798, 0.162)
F (0.804, 0.804, 0.507)
F (0.811, 0.811, 0.830)

Properties
Formation energy without anion corrections ... -20.38 eV/f.u.

=====

2.
Density functional theory data (PBE) for a geometry-optimized TbNd3Sc3 structure.

a b c (Å): 8.615 8.615 8.615
angles (deg): 58.52 58.52 58.52
Sites, in units of the cell vectors:
Tb (0.156, 0.156, 0.156)
Tb (0.844, 0.844, 0.844)
Nd (0.065, 0.573, 0.214)
Nd (0.214, 0.065, 0.573)
Nd (0.427, 0.786, 0.935)
Nd (0.573, 0.214, 0.065)
Nd (0.786, 0.935, 0.427)
Nd (0.935, 0.427, 0.786)
Sc (0.224, 0.669, 0.439)
Sc (0.331, 0.561, 0.776)
Sc (0.439, 0.224, 0.669)
Sc (0.561, 0.776, 0.331)
Sc (0.669, 0.439, 0.224)
Sc (0.776, 0.331, 0.561)

Properties
Calculated formation energy ... 0.180 eV/atom

=====

| no. | final energy (eV/cell) |
| --- | --- |
| 1 | -75.94 |
| 2 | -73.34 |